Entry 1:
Ca2PuMg: relaxed, PBE-GGA.

Computed properties:
M_tot	6.91	μB per formula unit
relative energy among the computed polymorphs	0	meV/atom
density	4477	kg/m3
ΔH_f (0 K)	16.48	kJ per mole of atoms
VASP energy	-4.812	eV/atom

Geometry as POSCAR:
```
Ca2PuMg
1.0
3.4987 0.0000 0.0000
0.0000 3.4987 0.0000
0.0000 0.0000 10.5577
Ca Pu Mg
2 1 1
Cartesian
0.0000 0.0000 2.4850
0.0000 0.0000 8.0727
1.7493 1.7493 5.2789
1.7493 1.7493 0.0000
```

Entry 2:
TlAuO: relaxed, PBE-GGA.

Computed properties:
M_tot	0.00	μB per formula unit
relative energy among the computed polymorphs	0	meV/atom
formation energy (no corrections)	-0.275	eV per atom
density	11727	kg/m3
VASP energy	-3.809	eV/atom

Geometry as POSCAR:
```
TlAuO
1.0
3.5044 0.0000 0.0000
0.0000 6.0140 0.0000
0.0000 0.0000 11.2159
Tl Au O
4 4 4
Cartesian
0.7941 0.5101 1.7312
0.9580 5.5039 7.3392
2.5463 2.4969 9.4848
2.7102 3.5171 3.8768
0.2328 2.6366 6.1517
1.5194 3.3774 0.5437
1.9850 0.3704 5.0643
3.2715 5.6436 10.6723
0.6498 1.8636 8.1040
1.1024 4.1504 2.4961
2.4020 1.1434 3.1119
2.8545 4.8706 8.7199
```

Entry 3:
Hf2V3P4: relaxed, PBE-GGA.

Computed properties:
M_tot	0.00	μB per formula unit
density	8231	kg/m3
ΔH_f (0 K)	-92.16	kJ per mole of atoms
VASP energy	-8.611	eV/atom

Geometry as POSCAR:
```
Hf2V3P4
1.0
6.3896 0.0000 0.0000
0.0000 6.4821 0.0000
-2.3946 0.0000 6.1735
Hf V P
4 6 8
Cartesian
1.1153 1.1391 0.3090
-0.0820 2.1019 3.3958
4.0771 4.3802 2.7777
2.8798 5.3430 5.8645
1.0072 4.1760 1.5659
-0.1901 5.5472 4.6526
1.9975 0.0000 3.0868
3.1948 3.2411 0.0000
4.1852 0.9350 1.5209
2.9879 2.3061 4.6077
-1.4364 3.5601 5.2032
-0.2391 6.1631 2.1165
1.5948 4.1669 3.9077
2.7921 5.5563 0.8209
1.2029 0.9258 5.3526
2.4002 2.3153 2.2658
4.2341 0.3190 4.0570
5.4314 2.9220 0.9703
```

Entry 4:
Ga12Sn5Sb3: relaxed, PBE-GGA.

Computed properties:
M_tot	0.00	μB per formula unit
formation energy (no corrections)	0.162	eV per atom
density	5357	kg/m3
VASP energy	-3.273	eV/atom

Geometry as POSCAR:
```
Ga12Sn5Sb3
1.0
-8.2258 8.2258 8.2258
8.2258 -8.2258 8.2258
8.2258 8.2258 -8.2258
Ga Sn Sb
48 20 12
Cartesian
2.5455 -0.1730 1.2387
9.7931 5.3516 -4.2859
8.0527 -1.2387 2.5455
12.5117 -1.5674 2.8742
10.7713 0.1730 1.2387
9.7931 -2.8742 4.2859
1.2387 2.5455 -0.1730
11.1000 3.9399 -1.5674
5.3516 4.2859 -1.5674
6.9871 2.5455 0.1730
-0.1730 1.2387 2.5455
4.2859 -1.5674 5.3516
8.0527 6.9871 -2.5455
4.2859 1.5674 2.8742
6.9871 -2.5455 8.0527
5.3516 -4.2859 9.7931
2.8742 4.2859 1.5674
9.4645 5.6802 0.1730
2.5455 8.0527 -1.2387
9.7931 2.8742 3.9399
4.2859 9.7931 -2.8742
8.0527 1.2387 5.6802
1.5674 2.8742 4.2859
2.5455 0.1730 6.9871
5.6802 8.0527 1.2387
6.6584 5.3516 3.9399
0.1730 6.9871 2.5455
3.9399 -1.5674 11.1000
-1.5674 5.3516 4.2859
5.6802 0.1730 9.4645
-1.2387 2.5455 8.0527
5.3516 3.9399 6.6584
2.8742 12.5117 -1.5674
1.2387 10.7713 0.1730
3.9399 6.6584 5.3516
0.1730 1.2387 10.7713
3.9399 9.7931 2.8742
8.3988 6.9871 5.6802
1.2387 5.6802 8.0527
2.8742 3.9399 9.7931
-2.8742 4.2859 9.7931
6.9871 5.6802 8.3988
-1.5674 11.1000 3.9399
-2.5455 8.0527 6.9871
-4.2859 9.7931 5.3516
0.1730 9.4645 5.6802
-1.5674 2.8742 12.5117
5.6802 8.3988 6.9871
0.0000 0.0000 0.0000
4.1129 4.1129 -4.1129
4.1129 -4.1129 4.1129
8.2258 0.0000 0.0000
12.3387 2.0564 0.0000
8.2258 -4.1129 6.1693
6.1693 8.2258 -4.1129
6.1693 0.0000 4.1129
4.1129 6.1693 0.0000
8.2258 4.1129 2.0564
-4.1129 4.1129 4.1129
0.0000 8.2258 0.0000
0.0000 0.0000 8.2258
4.1129 4.1129 4.1129
0.0000 4.1129 6.1693
4.1129 2.0564 8.2258
2.0564 8.2258 4.1129
2.0564 0.0000 12.3387
0.0000 12.3387 2.0564
-4.1129 6.1693 8.2258
4.1129 2.0564 0.0000
8.2258 4.1129 -2.0564
2.0564 0.0000 4.1129
10.2822 0.0000 4.1129
0.0000 4.1129 2.0564
4.1129 -2.0564 8.2258
4.1129 10.2822 0.0000
8.2258 4.1129 6.1693
-2.0564 8.2258 4.1129
6.1693 8.2258 4.1129
0.0000 4.1129 10.2822
4.1129 6.1693 8.2258
```

Entry 5:
CoCu2Ni4: relaxed, PBE-GGA.

Computed properties:
M_tot	3.34	μB per formula unit
relative energy among the computed polymorphs	0	meV/atom
density	8829	kg/m3
ΔH_f (0 K)	4.48	kJ per mole of atoms
VASP energy	-5.443	eV/atom

Geometry as POSCAR:
```
CoCu2Ni4
1.0
2.4852 0.0000 0.0000
0.0000 25.7628 0.0000
0.0000 0.0000 2.4722
Co Cu Ni
2 4 8
Cartesian
0.0000 0.0000 0.0000
1.2426 12.8814 0.0000
0.0000 7.5257 1.2361
0.0000 18.2371 1.2361
1.2426 5.3557 1.2361
1.2426 20.4071 1.2361
0.0000 3.5243 0.0000
0.0000 11.1277 1.2361
0.0000 14.6351 1.2361
0.0000 22.2385 0.0000
1.2426 1.7537 1.2361
1.2426 9.3571 0.0000
1.2426 16.4057 0.0000
1.2426 24.0091 1.2361
```

Entry 6:
NaGaSnIr: relaxed, PBE-GGA.

Computed properties:
M_tot	0.00	μB per formula unit
density	7542	kg/m3
ΔH_f (0 K)	-21.87	kJ per mole of atoms
VASP energy	-4.529	eV/atom

Geometry as POSCAR:
```
NaGaSnIr
1.0
4.3386 0.0000 0.0000
-2.1693 3.7573 0.0000
0.0000 0.0000 16.3559
Na Ga Sn Ir
3 3 3 3
Cartesian
0.0000 0.0000 0.0000
0.0000 2.5049 10.9039
2.1693 1.2524 5.4520
0.0000 0.0000 7.1849
0.0000 2.5049 1.7329
2.1693 1.2524 12.6369
0.0000 0.0000 3.3537
0.0000 2.5049 14.2576
2.1693 1.2524 8.8057
0.0000 0.0000 13.2213
0.0000 2.5049 7.7693
2.1693 1.2524 2.3174
```

Repeat the fifth record exactly.
CoCu2Ni4: relaxed, PBE-GGA.

Computed properties:
M_tot	3.34	μB per formula unit
relative energy among the computed polymorphs	0	meV/atom
density	8829	kg/m3
ΔH_f (0 K)	4.48	kJ per mole of atoms
VASP energy	-5.443	eV/atom

Geometry as POSCAR:
```
CoCu2Ni4
1.0
2.4852 0.0000 0.0000
0.0000 25.7628 0.0000
0.0000 0.0000 2.4722
Co Cu Ni
2 4 8
Cartesian
0.0000 0.0000 0.0000
1.2426 12.8814 0.0000
0.0000 7.5257 1.2361
0.0000 18.2371 1.2361
1.2426 5.3557 1.2361
1.2426 20.4071 1.2361
0.0000 3.5243 0.0000
0.0000 11.1277 1.2361
0.0000 14.6351 1.2361
0.0000 22.2385 0.0000
1.2426 1.7537 1.2361
1.2426 9.3571 0.0000
1.2426 16.4057 0.0000
1.2426 24.0091 1.2361
```